No. 1
DFT (PBE-GGA) results for a relaxed structure of CaTa2Zn.

a b c (Å): 3.011 5.267 5.160
angles (deg): 90.00 96.49 90.00
Positions (direct):
Ca 0.000 0.000 0.000
Ta 0.354 0.500 0.735
Ta 0.646 0.500 0.265
Zn 0.500 0.000 0.500

- DFT total energy (eV/atom) = -6.285
- symmetry = No. 10
- density of states at the Fermi level (states/eV/cell) = 3.30

=====

No. 2
DFT (PBE-GGA) results for a relaxed structure of CaTa2Zn.

a b c (Å): 6.039 6.039 2.833
angles (deg): 100.96 100.96 122.79
Positions (direct):
Ca 0.000 0.000 0.000
Ta 0.000 0.500 0.500
Ta 0.500 0.000 0.500
Zn 0.500 0.500 0.000

- DFT total energy (eV/atom) = -6.230
- symmetry = No. 12
- density of states at the Fermi level (states/eV/cell) = 4.25

=====

No. 3
DFT (PBE-GGA) results for a relaxed structure of Ca4TaZn.

a b c (Å): 6.400 6.400 6.400
angles (deg): 60.00 60.00 60.00
Positions (direct):
Ca 0.125 0.125 0.125
Ca 0.125 0.125 0.626
Ca 0.125 0.626 0.125
Ca 0.626 0.125 0.125
Ta 0.750 0.750 0.750
Zn 0.500 0.500 0.500

- DFT total energy (eV/atom) = -2.570
- symmetry = No. 216
- density of states at the Fermi level (states/eV/cell) = 5.93

=====

No. 4
DFT (PBE-GGA) results for a relaxed structure of CaTaZn2.

a b c (Å): 9.695 9.695 9.695
angles (deg): 18.43 18.43 18.43
Positions (direct):
Ca 0.000 0.000 0.000
Ta 0.500 0.500 0.500
Zn 0.244 0.244 0.244
Zn 0.756 0.756 0.756

- DFT total energy (eV/atom) = -3.798
- symmetry = No. 166
- density of states at the Fermi level (states/eV/cell) = 3.27

=====

No. 5
DFT (PBE-GGA) results for a relaxed structure of CaTaZn2.

a b c (Å): 2.989 3.894 6.633
angles (deg): 90.00 90.07 90.00
Positions (direct):
Ca 0.000 0.000 0.000
Ta 0.000 0.000 0.500
Zn 0.500 0.500 0.295
Zn 0.500 0.500 0.705

- DFT total energy (eV/atom) = -4.028
- symmetry = No. 10
- density of states at the Fermi level (states/eV/cell) = 2.62

=====

No. 6
DFT (PBE-GGA) results for a relaxed structure of CaTaZn2.

a b c (Å): 3.032 3.032 8.378
angles (deg): 90.00 90.00 90.00
Positions (direct):
Ca 0.000 0.000 0.000
Ta 0.500 0.500 0.313
Zn 0.000 0.000 0.528
Zn 0.500 0.500 0.723

- DFT total energy (eV/atom) = -3.901
- symmetry = No. 99
- density of states at the Fermi level (states/eV/cell) = 3.12

=====

No. 7
DFT (PBE-GGA) results for a relaxed structure of CaTaZn2.

a b c (Å): 5.538 5.538 5.165
angles (deg): 107.61 107.61 30.11
Positions (direct):
Ca 0.000 0.000 0.000
Ta 0.212 0.212 0.624
Zn 0.465 0.465 0.495
Zn 0.757 0.757 0.157

- DFT total energy (eV/atom) = -3.883
- symmetry = No. 8
- density of states at the Fermi level (states/eV/cell) = 2.62

=====

No. 8
DFT (PBE-GGA) results for a relaxed structure of CaTaZn2.

a b c (Å): 3.126 4.339 5.888
angles (deg): 90.00 90.00 90.00
Positions (direct):
Ca 0.000 0.000 0.000
Ta 0.500 0.500 0.334
Zn 0.000 0.000 0.489
Zn 0.500 0.500 0.783

- DFT total energy (eV/atom) = -3.765
- symmetry = No. 25
- density of states at the Fermi level (states/eV/cell) = 3.57

=====

No. 9
DFT (PBE-GGA) results for a relaxed structure of CaTa2Zn.

a b c (Å): 4.071 4.071 4.813
angles (deg): 90.00 90.00 90.00
Positions (direct):
Ca 0.000 0.000 0.000
Ta 0.000 0.500 0.500
Ta 0.500 0.000 0.500
Zn 0.500 0.500 0.000

- DFT total energy (eV/atom) = -6.165
- symmetry = No. 123
- density of states at the Fermi level (states/eV/cell) = 5.43

=====

No. 10
DFT (PBE-GGA) results for a relaxed structure of CaTaZn2.

a b c (Å): 4.814 4.814 4.814
angles (deg): 60.00 60.00 60.00
Positions (direct):
Ca 0.000 0.000 0.000
Ta 0.250 0.250 0.250
Zn 0.500 0.500 0.500
Zn 0.750 0.750 0.750

- DFT total energy (eV/atom) = -3.438
- symmetry = No. 216
- density of states at the Fermi level (states/eV/cell) = 2.24

=====

No. 11
DFT (PBE-GGA) results for a relaxed structure of CaTa2Zn.

a b c (Å): 5.911 5.911 5.911
angles (deg): 149.83 126.06 63.06
Positions (direct):
Ca 0.000 0.000 0.000
Ta 0.290 0.790 0.500
Ta 0.512 0.512 0.000
Zn 0.740 0.240 0.500

- DFT total energy (eV/atom) = -6.188
- symmetry = No. 44
- density of states at the Fermi level (states/eV/cell) = 2.96

=====

No. 12
DFT (PBE-GGA) results for a relaxed structure of CaTa2Zn.

a b c (Å): 3.217 4.705 5.265
angles (deg): 90.00 90.00 90.00
Positions (direct):
Ca 0.000 0.000 0.000
Ta 0.000 0.500 0.500
Ta 0.500 0.000 0.500
Zn 0.500 0.500 0.000

- DFT total energy (eV/atom) = -6.269
- symmetry = No. 47
- density of states at the Fermi level (states/eV/cell) = 4.30

=====

No. 13
DFT (PBE-GGA) results for a relaxed structure of CaTaZn2.

a b c (Å): 5.013 5.013 2.959
angles (deg): 90.00 90.00 90.00
Positions (direct):
Ca 0.000 0.000 0.000
Ta 0.500 0.500 0.000
Zn 0.000 0.500 0.500
Zn 0.500 0.000 0.500

- DFT total energy (eV/atom) = -3.966
- symmetry = No. 123
- density of states at the Fermi level (states/eV/cell) = 2.53

=====

No. 14
DFT (PBE-GGA) results for a relaxed structure of CaTa2Zn.

a b c (Å): 4.799 4.799 4.799
angles (deg): 60.00 60.00 60.00
Positions (direct):
Ca 0.000 0.000 0.000
Ta 0.500 0.500 0.500
Ta 0.750 0.750 0.750
Zn 0.250 0.250 0.250

- DFT total energy (eV/atom) = -6.193
- symmetry = No. 216
- density of states at the Fermi level (states/eV/cell) = 3.67

=====

No. 15
DFT (PBE-GGA) results for a relaxed structure of CaZrTa2.

a b c (Å): 5.113 5.113 6.274
angles (deg): 93.17 93.17 33.95
Positions (direct):
Ca 0.000 0.000 0.000
Zr 0.237 0.237 0.697
Ta 0.497 0.497 0.478
Ta 0.757 0.757 0.291

- DFT total energy (eV/atom) = -8.080
- energy relative to the lowest polymorph listed for this composition (meV per atom) = 168
- symmetry = No. 8
- density of states at the Fermi level (states/eV/cell) = 4.81

=====

No. 16
DFT (PBE-GGA) results for a relaxed structure of CaZr4Ta.

a b c (Å): 5.907 5.907 5.907
angles (deg): 60.00 60.00 60.00
Positions (direct):
Ca 0.000 0.000 0.000
Zr 0.378 0.378 0.378
Zr 0.378 0.378 0.867
Zr 0.378 0.867 0.378
Zr 0.867 0.378 0.378
Ta 0.750 0.750 0.750

- DFT total energy (eV/atom) = -7.438
- symmetry = No. 216
- density of states at the Fermi level (states/eV/cell) = 12.14

=====

No. 17
DFT (PBE-GGA) results for a relaxed structure of CaZrTa2.

a b c (Å): 10.815 10.815 10.815
angles (deg): 157.65 157.65 31.81
Positions (direct):
Ca 0.000 0.000 0.000
Ca 0.750 0.250 0.500
Zr 0.250 0.750 0.500
Zr 0.500 0.500 0.000
Ta 0.142 0.625 0.017
Ta 0.375 0.392 0.517
Ta 0.608 0.125 0.983
Ta 0.875 0.858 0.483

- DFT total energy (eV/atom) = -7.601
- energy relative to the lowest polymorph listed for this composition (meV per atom) = 646
- symmetry = No. 122
- density of states at the Fermi level (states/eV/cell) = 3.72

=====

No. 18
DFT (PBE-GGA) results for a relaxed structure of CaZr2Ta.

a b c (Å): 10.760 10.760 10.760
angles (deg): 156.50 156.50 33.48
Positions (direct):
Ca 0.000 0.000 0.000
Ca 0.750 0.250 0.500
Zr 0.149 0.125 0.524
Zr 0.375 0.851 0.976
Zr 0.601 0.625 0.476
Zr 0.875 0.399 0.024
Ta 0.250 0.750 0.500
Ta 0.500 0.500 0.000

- DFT total energy (eV/atom) = -6.830
- energy relative to the lowest polymorph listed for this composition (meV per atom) = 687
- symmetry = No. 122
- density of states at the Fermi level (states/eV/cell) = 8.37

=====

No. 19
DFT (PBE-GGA) results for a relaxed structure of Ca3ZrTa.

a b c (Å): 5.542 5.542 5.542
angles (deg): 90.00 90.00 90.00
Positions (direct):
Ca 0.000 0.000 0.500
Ca 0.000 0.500 0.000
Ca 0.500 0.000 0.000
Zr 0.500 0.500 0.500
Ta 0.000 0.000 0.000

- DFT total energy (eV/atom) = -3.837
- energy relative to the lowest polymorph listed for this composition (meV per atom) = 0
- symmetry = No. 221
- density of states at the Fermi level (states/eV/cell) = 9.75

=====

No. 20
DFT (PBE-GGA) results for a relaxed structure of Ca2ZrTa.

a b c (Å): 6.202 6.202 6.202
angles (deg): 138.69 138.69 59.84
Positions (direct):
Ca 0.250 0.750 0.500
Ca 0.750 0.250 0.500
Zr 0.000 0.000 0.000
Ta 0.500 0.500 0.000

- DFT total energy (eV/atom) = -5.401
- energy relative to the lowest polymorph listed for this composition (meV per atom) = 368
- symmetry = No. 139
- density of states at the Fermi level (states/eV/cell) = 7.05

=====

No. 21
DFT (PBE-GGA) results for a relaxed structure of CaZr2Ta.

a b c (Å): 10.981 10.981 10.981
angles (deg): 16.89 16.89 16.89
Positions (direct):
Ca 0.000 0.000 0.000
Zr 0.240 0.240 0.240
Zr 0.760 0.760 0.760
Ta 0.500 0.500 0.500

- DFT total energy (eV/atom) = -7.398
- energy relative to the lowest polymorph listed for this composition (meV per atom) = 119
- symmetry = No. 166
- density of states at the Fermi level (states/eV/cell) = 3.92

=====

No. 22
DFT (PBE-GGA) results for a relaxed structure of Ca2ZrTa.

a b c (Å): 5.585 3.172 6.101
angles (deg): 90.00 108.46 90.00
Positions (direct):
Ca 0.000 0.000 0.000
Ca 0.500 0.500 0.000
Zr 0.000 0.500 0.500
Ta 0.500 0.000 0.500

- DFT total energy (eV/atom) = -5.471
- energy relative to the lowest polymorph listed for this composition (meV per atom) = 298
- symmetry = No. 10
- density of states at the Fermi level (states/eV/cell) = 4.65

=====

No. 23
DFT (PBE-GGA) results for a relaxed structure of Ca2ZrTa.

a b c (Å): 11.709 11.709 11.709
angles (deg): 15.70 15.70 15.70
Positions (direct):
Ca 0.246 0.246 0.246
Ca 0.754 0.754 0.754
Zr 0.000 0.000 0.000
Ta 0.500 0.500 0.500

- DFT total energy (eV/atom) = -5.482
- energy relative to the lowest polymorph listed for this composition (meV per atom) = 287
- symmetry = No. 166
- density of states at the Fermi level (states/eV/cell) = 5.67

=====

No. 24
DFT (PBE-GGA) results for a relaxed structure of Ca2ZrTa.

a b c (Å): 3.237 3.237 10.811
angles (deg): 90.00 90.00 103.21
Positions (direct):
Ca 0.000 0.000 0.000
Ca 0.500 0.500 0.309
Zr 0.000 0.000 0.582
Ta 0.500 0.500 0.765

- DFT total energy (eV/atom) = -5.691
- energy relative to the lowest polymorph listed for this composition (meV per atom) = 78
- symmetry = No. 35
- density of states at the Fermi level (states/eV/cell) = 4.98

=====

No. 25
DFT (PBE-GGA) results for a relaxed structure of CaZrTa2.

a b c (Å): 10.715 10.715 10.715
angles (deg): 16.71 16.71 16.71
Positions (direct):
Ca 0.000 0.000 0.000
Zr 0.500 0.500 0.500
Ta 0.245 0.245 0.245
Ta 0.755 0.755 0.755

- DFT total energy (eV/atom) = -8.026
- energy relative to the lowest polymorph listed for this composition (meV per atom) = 221
- symmetry = No. 166
- density of states at the Fermi level (states/eV/cell) = 5.27

=====

No. 26
DFT (PBE-GGA) results for a relaxed structure of CaZr2Ta.

a b c (Å): 6.354 6.354 6.354
angles (deg): 151.54 126.46 61.75
Positions (direct):
Ca 0.000 0.000 0.000
Zr 0.279 0.779 0.500
Zr 0.721 0.221 0.500
Ta 0.500 0.500 0.000

- DFT total energy (eV/atom) = -7.301
- energy relative to the lowest polymorph listed for this composition (meV per atom) = 217
- symmetry = No. 71
- density of states at the Fermi level (states/eV/cell) = 5.81

=====

No. 27
DFT (PBE-GGA) results for a relaxed structure of Ca2ZrTa.

a b c (Å): 6.700 6.700 6.700
angles (deg): 151.21 133.69 55.45
Positions (direct):
Ca 0.229 0.229 0.000
Ca 0.771 0.771 0.000
Zr 0.500 0.000 0.500
Ta 0.000 0.500 0.500

- DFT total energy (eV/atom) = -5.446
- energy relative to the lowest polymorph listed for this composition (meV per atom) = 323
- symmetry = No. 71
- density of states at the Fermi level (states/eV/cell) = 5.00

=====

No. 28
DFT (PBE-GGA) results for a relaxed structure of Ca2ZrTa.

a b c (Å): 3.577 4.942 5.786
angles (deg): 90.00 90.00 90.00
Positions (direct):
Ca 0.000 0.000 0.000
Ca 0.500 0.500 0.000
Zr 0.000 0.500 0.500
Ta 0.500 0.000 0.500

- DFT total energy (eV/atom) = -5.426
- energy relative to the lowest polymorph listed for this composition (meV per atom) = 343
- symmetry = No. 47
- density of states at the Fermi level (states/eV/cell) = 5.62

=====

No. 29
DFT (PBE-GGA) results for a relaxed structure of CaZrTa2.

a b c (Å): 5.364 5.364 6.043
angles (deg): 93.43 93.43 32.24
Positions (direct):
Ca 0.000 0.000 0.000
Zr 0.500 0.500 0.500
Ta 0.243 0.243 0.697
Ta 0.757 0.757 0.303

- DFT total energy (eV/atom) = -8.026
- energy relative to the lowest polymorph listed for this composition (meV per atom) = 221
- symmetry = No. 12
- density of states at the Fermi level (states/eV/cell) = 4.71

=====

No. 30
DFT (PBE-GGA) results for a relaxed structure of Ca2ZrTa.

a b c (Å): 3.093 3.093 11.653
angles (deg): 90.00 90.00 113.17
Positions (direct):
Ca 0.000 0.000 0.237
Ca 0.000 0.000 0.763
Zr 0.500 0.500 0.500
Ta 0.500 0.500 0.000

- DFT total energy (eV/atom) = -5.453
- energy relative to the lowest polymorph listed for this composition (meV per atom) = 316
- symmetry = No. 65
- density of states at the Fermi level (states/eV/cell) = 5.23

=====

| no. | formation energy from the elements (kJ/mol of formula units) | density (Mg/m³) |
| --- | --- | --- |
| 1 | 178 | 9.5 |
| 2 | 199 | 9.7 |
| 3 | 551 | 3.6 |
| 4 | 117 | 7.3 |
| 5 | 28 | 7.6 |
| 6 | 77 | 7.6 |
| 7 | 84 | 7.7 |
| 8 | 130 | 7.3 |
| 9 | 224 | 9.7 |
| 10 | 256 | 7.4 |
| 11 | 215 | 9.3 |
| 12 | 184 | 9.7 |
| 13 | 52 | 7.9 |
| 14 | 213 | 9.9 |
| 15 | 187 | 9.0 |
| 16 | 330 | 6.7 |
| 17 | 372 | 9.0 |
| 18 | 350 | 6.8 |
| 19 | 697 | 3.8 |
| 20 | 270 | 5.7 |
| 21 | 131 | 6.9 |
| 22 | 243 | 5.7 |
| 23 | 239 | 5.7 |
| 24 | 158 | 5.3 |
| 25 | 208 | 9.2 |
| 26 | 169 | 6.9 |
| 27 | 253 | 5.6 |
| 28 | 261 | 5.7 |
| 29 | 207 | 8.8 |
| 30 | 250 | 5.7 |